Record 1
BeMo2Ru | PBE | relaxed

Geometry as CIF:
```
data_BeMo2Ru
_cell_length_a 3.118
_cell_length_b 3.118
_cell_length_c 5.673
_cell_angle_alpha 90.00
_cell_angle_beta 90.00
_cell_angle_gamma 90.00
_symmetry_space_group_name_H-M 'P 4 m m'
_symmetry_Int_Tables_number 99
_symmetry_space_group_name_Hall 'P 4 -2'
loop_
_atom_site_label
_atom_site_type_symbol
_atom_site_fract_x
_atom_site_fract_y
_atom_site_fract_z
Be1 Be 0.000 0.000 0.000
Mo1 Mo 0.000 0.000 0.502
Mo2 Mo 0.500 0.500 0.245
Ru1 Ru 0.500 0.500 0.801
```

Record 2
Be2Mo2Ru | PBE | relaxed

Geometry as CIF:
```
data_Be2Mo2Ru
_cell_length_a 6.187
_cell_length_b 6.187
_cell_length_c 3.137
_cell_angle_alpha 90.00
_cell_angle_beta 90.00
_cell_angle_gamma 90.00
_symmetry_space_group_name_H-M 'P 4/m b m'
_symmetry_Int_Tables_number 127
_symmetry_space_group_name_Hall '-P 4 2ab'
loop_
_atom_site_label
_atom_site_type_symbol
_atom_site_fract_x
_atom_site_fract_y
_atom_site_fract_z
Be1 Be 0.121 0.379 0.000
Mo1 Mo 0.173 0.673 0.500
Ru1 Ru 0.000 0.000 0.000
```

Values of DFT formation energy, in order: 27; -142, all in meV/atom.